A geometry-optimized Li2PbW structure, computed with PBE.

a b c (Å): 2.952 2.952 9.367
angles (deg): 90.00 90.00 106.68
Fractional positions:
Li1 0.500 0.500 0.250
Li2 0.000 0.000 0.987
W1 0.500 0.500 0.757
Pb1 0.000 0.000 0.507

E_form: 1.95 eV per formula unit
total magnetic moment: 0.00 μB per formula unit



A geometry-optimized Sc2TcSb2 structure, computed with PBE.

a b c (Å): 7.030 7.030 4.272
angles (deg): 90.00 90.00 90.00
Fractional positions:
Sc1 0.835 0.335 0.500
Sc2 0.165 0.665 0.500
Sc3 0.335 0.165 0.500
Sc4 0.665 0.835 0.500
Sb1 0.853 0.647 0.000
Sb2 0.353 0.853 0.000
Sb3 0.147 0.353 0.000
Sb4 0.647 0.147 0.000
Tc1 0.500 0.500 0.000
Tc2 0.000 0.000 0.000

total magnetic moment: 0.37 μB per formula unit
formation energy from raw total energies: -224 kJ/mol of formula units